Entry 1:
# Cu2Pt (PBEsol, optimized geometry)
data_Cu2Pt
_space_group_name_H-M_alt 'C 1 m 1'
_space_group_IT_number 8
_space_group_name_Hall 'C -2y'
_cell_length_a 9.176
_cell_length_b 5.260
_cell_length_c 7.782
_cell_angle_alpha 90.00
_cell_angle_beta 125.50
_cell_angle_gamma 90.00
loop_
_atom_site_label
_atom_site_fract_x
_atom_site_fract_y
_atom_site_fract_z
_atom_site_occupancy
Cu1 0.000 0.000 0.000 1
Cu2 0.000 0.500 0.005 1
Cu3 0.003 0.500 0.339 1
Cu4 0.011 0.000 0.685 1
Cu5 0.257 0.244 0.006 1
Cu6 0.261 0.250 0.684 1
Pt1 0.003 0.000 0.342 1
Pt2 0.016 0.500 0.688 1
Pt3 0.250 0.251 0.337 1
# - Energy relative to the elements: -0.09 eV/atom
# - Calculated volume: 12.74 Å³ per atom
# - Magnetization: 0.0 μB per cell
# - Calculated total energy: -5.305 eV per atom

---

Entry 2:
# Tl3B3Se10 (PBEsol, optimized geometry)
data_Tl3B3Se10
_space_group_name_H-M_alt 'P -1'
_space_group_IT_number 2
_space_group_name_Hall '-P 1'
_cell_length_a 7.021
_cell_length_b 8.024
_cell_length_c 14.523
_cell_angle_alpha 105.00
_cell_angle_beta 95.41
_cell_angle_gamma 92.44
loop_
_atom_site_label
_atom_site_fract_x
_atom_site_fract_y
_atom_site_fract_z
_atom_site_occupancy
Tl1 0.016 0.372 0.292 1
Tl2 0.259 0.952 0.346 1
Tl3 0.324 0.675 0.978 1
B1 0.109 0.126 0.918 1
B2 0.259 0.216 0.740 1
B3 0.356 0.418 0.589 1
Se1 0.065 0.301 0.838 1
Se2 0.146 0.014 0.129 1
Se3 0.146 0.257 0.060 1
Se4 0.154 0.239 0.607 1
Se5 0.213 0.567 0.514 1
Se6 0.301 0.959 0.724 1
Se7 0.352 0.001 0.893 1
Se8 0.470 0.750 0.486 1
Se9 0.474 0.659 0.214 1
Se10 0.476 0.575 0.718 1
# - ΔE_f (raw): -0.20 eV per atom
# - Calculated volume: 24.53 Å³ per atom
# - Magnetization: 0.0 μB per cell
# - Calculated total energy: -4.416 eV per atom

---

Entry 3:
# BIr2Se (PBEsol, optimized geometry)
data_BIr2Se
_space_group_name_H-M_alt 'F m -3 m'
_space_group_IT_number 225
_space_group_name_Hall '-F 4 2 3'
_cell_length_a 5.910
_cell_length_b 5.910
_cell_length_c 5.910
_cell_angle_alpha 90.00
_cell_angle_beta 90.00
_cell_angle_gamma 90.00
loop_
_atom_site_label
_atom_site_fract_x
_atom_site_fract_y
_atom_site_fract_z
_atom_site_occupancy
B1 0.000 0.000 0.000 1
Ir1 0.250 0.250 0.250 1
Se1 0.000 0.000 0.500 1
# - ΔE_f (raw): 0.77 eV per atom
# - Calculated volume: 12.90 Å³ per atom
# - Magnetization: 0.0 μB per cell
# - Calculated total energy: -6.860 eV per atom

---

Entry 4:
# InHS2I (PBEsol, optimized geometry)
data_InHS2I
_space_group_name_H-M_alt 'P 4/m m m'
_space_group_IT_number 123
_space_group_name_Hall '-P 4 2'
_cell_length_a 5.115
_cell_length_b 5.115
_cell_length_c 6.208
_cell_angle_alpha 90.00
_cell_angle_beta 90.00
_cell_angle_gamma 90.00
loop_
_atom_site_label
_atom_site_fract_x
_atom_site_fract_y
_atom_site_fract_z
_atom_site_occupancy
In1 0.000 0.000 0.000 1
H1 0.500 0.500 0.000 1
S1 0.000 0.500 0.500 1
I1 0.000 0.000 0.500 1
# - Calculated volume: 32.48 Å³ per atom
# - Magnetization: 0.9 μB per cell
# - Calculated total energy: -2.344 eV per atom

---

Entry 5:
# CaBr2 (PBEsol, optimized geometry)
data_CaBr2
_space_group_name_H-M_alt 'P n n m'
_space_group_IT_number 58
_space_group_name_Hall '-P 2 2n'
_cell_length_a 6.546
_cell_length_b 6.817
_cell_length_c 4.302
_cell_angle_alpha 90.00
_cell_angle_beta 90.00
_cell_angle_gamma 90.00
loop_
_atom_site_label
_atom_site_fract_x
_atom_site_fract_y
_atom_site_fract_z
_atom_site_occupancy
Ca1 0.000 0.000 0.000 1
Br1 0.237 0.160 0.500 1
# - ΔE_f (raw): -2.01 eV per atom
# - Calculated volume: 32.00 Å³ per atom
# - Magnetization: 0.0 μB per cell
# - Calculated total energy: -3.972 eV per atom

---

Entry 6:
# Mg3Si4O12 (PBEsol, optimized geometry)
data_Mg3Si4O12
_space_group_name_H-M_alt 'P -1'
_space_group_IT_number 2
_space_group_name_Hall '-P 1'
_cell_length_a 5.289
_cell_length_b 5.357
_cell_length_c 9.678
_cell_angle_alpha 81.66
_cell_angle_beta 85.85
_cell_angle_gamma 60.48
loop_
_atom_site_label
_atom_site_fract_x
_atom_site_fract_y
_atom_site_fract_z
_atom_site_occupancy
Mg1 0.000 0.000 0.000 1
Mg2 0.323 0.353 0.000 1
Si1 0.006 0.743 0.712 1
Si2 0.326 0.593 0.288 1
O1 0.009 0.697 0.883 1
O2 0.150 0.911 0.343 1
O3 0.169 0.401 0.345 1
O4 0.325 0.636 0.117 1
O5 0.340 0.581 0.655 1
O6 0.356 0.023 0.912 1
# - ΔE_f (raw): -2.53 eV per atom
# - Calculated volume: 12.43 Å³ per atom
# - Magnetization: 2.0 μB per cell
# - Calculated total energy: -7.330 eV per atom